No. 1
Material: LiTlAs2
Method: DFT, SCAN
State: PBEsol geometry

The structure in CIF format:
```
data_LiTlAs2
_chemical_formula_sum 'Li2 Tl2 As4'
_cell_length_a 3.606
_cell_length_b 4.207
_cell_length_c 11.819
_cell_angle_alpha 90.00
_cell_angle_beta 90.00
_cell_angle_gamma 90.00
_space_group_name_H-M_alt 'I m m 2'
_space_group_IT_number 44
loop_
_space_group_symop_operation_xyz
'x,y,z'
'-x,-y,z'
'-x,y,z'
'x,-y,z'
'x+1/2,y+1/2,z+1/2'
'-x+1/2,-y+1/2,z+1/2'
'-x+1/2,y+1/2,z+1/2'
'x+1/2,-y+1/2,z+1/2'
loop_
_atom_site_label
_atom_site_fract_x
_atom_site_fract_y
_atom_site_fract_z
Li1 0.000 0.000 0.000
Tl1 0.000 0.500 0.774
As1 0.000 0.000 0.495
As2 0.000 0.500 0.145
```

## Properties
Electronic total energy = -231.7 eV per cell
Size of the total moment = 0.00 μB/f.u.
ΔE_f = -0.186 eV/atom

---

No. 2
Material: Mg3GaPt
Method: DFT, SCAN
State: PBEsol geometry

The structure in CIF format:
```
data_Mg3GaPt
_chemical_formula_sum 'Mg3 Ga1 Pt1'
_cell_length_a 4.959
_cell_length_b 4.959
_cell_length_c 4.959
_cell_angle_alpha 90.00
_cell_angle_beta 90.00
_cell_angle_gamma 90.00
_space_group_name_H-M_alt 'P m -3 m'
_space_group_IT_number 221
_space_group_name_Hall '-P 4 2 3'
loop_
_atom_site_label
_atom_site_fract_x
_atom_site_fract_y
_atom_site_fract_z
Mg1 0.000 0.000 0.500
Ga1 0.500 0.500 0.500
Pt1 0.000 0.000 0.000
```

## Properties
Electronic total energy = -102.8 eV per cell
Size of the total moment = 0.00 μB/f.u.
ΔE_f = -0.260 eV/atom

---

No. 3
Material: Tl2MoPb2
Method: DFT, SCAN
State: PBEsol geometry

The structure in CIF format:
```
data_Tl2MoPb2
_chemical_formula_sum 'Tl4 Mo2 Pb4'
_cell_length_a 3.932
_cell_length_b 3.932
_cell_length_c 17.753
_cell_angle_alpha 90.00
_cell_angle_beta 90.00
_cell_angle_gamma 90.00
_space_group_name_H-M_alt 'I 4/m m m'
_space_group_IT_number 139
_space_group_name_Hall '-I 4 2'
loop_
_atom_site_label
_atom_site_fract_x
_atom_site_fract_y
_atom_site_fract_z
Tl1 0.000 0.500 0.250
Mo1 0.000 0.000 0.000
Pb1 0.000 0.000 0.415
```

## Properties
Electronic total energy = -654.7 eV per cell
Size of the total moment = 2.91 μB/f.u.
ΔE_f = 0.765 eV/atom

---

No. 4
Material: Mn2CuNi
Method: DFT, SCAN
State: PBEsol geometry

The structure in CIF format:
```
data_Mn2CuNi
_chemical_formula_sum 'Mn2 Cu1 Ni1'
_cell_length_a 4.126
_cell_length_b 4.126
_cell_length_c 2.828
_cell_angle_alpha 90.00
_cell_angle_beta 90.00
_cell_angle_gamma 90.00
_space_group_name_H-M_alt 'P 4/m m m'
_space_group_IT_number 123
_space_group_name_Hall '-P 4 2'
loop_
_atom_site_label
_atom_site_fract_x
_atom_site_fract_y
_atom_site_fract_z
Mn1 0.000 0.500 0.000
Cu1 0.000 0.000 0.500
Ni1 0.500 0.500 0.500
```

## Properties
Electronic total energy = -68.8 eV per cell
Size of the total moment = 8.50 μB/f.u.
ΔE_f = -0.220 eV/atom

---

No. 5
Material: LiIn2Rh
Method: DFT, SCAN
State: PBEsol geometry

The structure in CIF format:
```
data_LiIn2Rh
_chemical_formula_sum 'Li1 In2 Rh1'
_cell_length_a 3.133
_cell_length_b 3.571
_cell_length_c 6.040
_cell_angle_alpha 90.00
_cell_angle_beta 90.00
_cell_angle_gamma 90.00
_space_group_name_H-M_alt 'P m m m'
_space_group_IT_number 47
loop_
_space_group_symop_operation_xyz
'x,y,z'
'-x,-y,-z'
'-x,-y,z'
'x,y,-z'
'x,-y,-z'
'-x,y,z'
'-x,y,-z'
'x,-y,z'
loop_
_atom_site_label
_atom_site_fract_x
_atom_site_fract_y
_atom_site_fract_z
Li1 0.000 0.000 0.000
In1 0.500 0.500 0.256
Rh1 0.000 0.000 0.500
```

## Properties
Electronic total energy = -104.6 eV per cell
Size of the total moment = 0.00 μB/f.u.
Distance to the lowest polymorph of the same formula = 67 meV per atom
ΔE_f = -0.422 eV/atom

---

No. 6
Material: SrAlFe2
Method: DFT, SCAN
State: PBEsol geometry

The structure in CIF format:
```
data_SrAlFe2
_chemical_formula_sum 'Sr1 Al1 Fe2'
_cell_length_a 3.273
_cell_length_b 3.273
_cell_length_c 6.619
_cell_angle_alpha 90.00
_cell_angle_beta 90.00
_cell_angle_gamma 90.00
_space_group_name_H-M_alt 'P 4/m m m'
_space_group_IT_number 123
_space_group_name_Hall '-P 4 2'
loop_
_atom_site_label
_atom_site_fract_x
_atom_site_fract_y
_atom_site_fract_z
Sr1 0.000 0.000 0.000
Al1 0.000 0.000 0.500
Fe1 0.500 0.500 0.336
```

## Properties
Electronic total energy = -65.0 eV per cell
Size of the total moment = 4.54 μB/f.u.
ΔE_f = 0.333 eV/atom